# 1
The following is a DFT calculation (GGA-PBE) of an optimized crystal structure of CaLaTe2O8.

Geometry as POSCAR:
```
CaLaTe2O8
1.0
5.432 0.000 0.000
0.000 5.432 0.000
-2.716 -2.716 5.896
O La Te Ca
8 1 2 1
Direct
0.334 0.908 0.334 O
0.755 0.843 0.173 O
0.418 0.330 0.173 O
0.157 0.582 0.827 O
0.000 0.427 0.334 O
0.670 0.245 0.827 O
0.573 0.666 0.666 O
0.092 0.000 0.666 O
0.000 0.000 0.000 La
0.250 0.750 0.500 Te
0.500 0.500 0.000 Te
0.750 0.250 0.500 Ca
```

Properties
crystal system	tetragonal
space group	I-4 (82)
uncorrected energy	-6.254	eV/atom

***

# 2
The following is a DFT calculation (GGA-PBE) of an optimized crystal structure of Tl2SiAg.

Geometry as POSCAR:
```
Tl2SiAg
1.0
-0.325 -0.685 3.949
-1.005 -3.184 -0.635
5.673 -4.827 -0.370
Si Tl Ag
1 2 1
Direct
0.500 0.750 0.750 Si
0.000 0.506 0.506 Tl
0.000 0.994 0.994 Tl
0.500 0.250 0.250 Ag
```

Properties
distance to the lowest polymorph of the same formula	0.140	eV/atom
crystal system	monoclinic
space group	P2/m (10)
uncorrected energy	-2.853	eV/atom

***

no.,density of states at the Fermi level (states/eV per cell),formation energy without anion corrections (meV per atom),calculated density (g cm⁻³)
1,2.6,-1848,5.37
2,0.8,398,9.64